(1)
Material: Nd7Ag2Pb2
Method: DFT, GGA-PBE
State: relaxed

Lattice parameters (Å, degrees): 8.651 11.659 7.299 90.00 90.00 90.00
Space group Cmmm (No. 65)
Asymmetric unit:
Nd: 0.000 0.000 0.000
Nd: 0.000 0.500 0.247
Nd: 0.250 0.250 0.271
Ag: 0.000 0.281 0.000
Pb: 0.179 0.000 0.500

Values from the calculation:
The value obtained for the total energy is -4.27 eV per atom. The theoretical density comes out at 7.4 g/cm3.

=====

(2)
Material: La6TbTm2
Method: DFT, GGA-PBE
State: relaxed

Lattice parameters (Å, degrees): 9.468 17.849 3.694 90.00 90.00 90.00
Space group Cmmm (No. 65)
Asymmetric unit:
La: 0.172 0.167 0.000
La: 0.177 0.000 0.500
Tb: 0.000 0.500 0.000
Tm: 0.000 0.327 0.500

Values from the calculation:
The value obtained for the total energy is -4.68 eV per atom. The theoretical density comes out at 7.1 g/cm3.

=====

(3)
Material: BeGeI2N
Method: DFT, GGA-PBE
State: relaxed

Lattice parameters (Å, degrees): 5.905 5.905 3.225 90.00 90.00 90.00
Space group P4/mmm (No. 123)
Asymmetric unit:
Be: 0.000 0.000 0.000
Ge: 0.500 0.500 0.500
I: 0.000 0.500 0.000
N: 0.000 0.000 0.500

Values from the calculation:
Its uncorrected formation energy is 500 meV per atom. The energy above the lowest structure with this stoichiometry comes out at 0 meV/atom. The theoretical density comes out at 5.2 g/cm3.

=====

(4)
Material: Li5Al2O5
Method: DFT, GGA-PBE
State: relaxed

Lattice parameters (Å, degrees): 9.994 2.966 8.947 90.00 113.71 90.00
Space group C2/m (No. 12)
Asymmetric unit:
Li: 0.000 0.000 0.000
Li: 0.169 0.000 0.571
Li: 0.223 0.000 0.895
Al: 0.024 0.500 0.303
O: 0.000 0.500 0.500
O: 0.102 0.500 0.907
O: 0.140 0.000 0.336

Values from the calculation:
Its uncorrected formation energy is -2090 meV per atom. The theoretical density comes out at 2.3 g/cm3.

=====

(5)
Material: IrPb2Au
Method: DFT, GGA-PBE
State: relaxed

Lattice parameters (Å, degrees): 3.906 4.110 5.866 90.00 107.70 90.00
Space group Pm (No. 6)
Asymmetric unit:
Ir: 0.000 0.000 0.000
Pb: 0.236 0.000 0.513
Pb: 0.541 0.500 0.108
Au: 0.797 0.500 0.657

Values from the calculation:
The energy above the lowest structure with this stoichiometry comes out at 0 meV/atom. The theoretical density comes out at 14.9 g/cm3.

=====

(6)
Material: Cd3InCo
Method: DFT, GGA-PBE
State: relaxed

Lattice parameters (Å, degrees): 5.012 5.012 5.012 90.00 90.00 90.00
Space group Pm-3m (No. 221)
Asymmetric unit:
Cd: 0.000 0.000 0.500
In: 0.500 0.500 0.500
Co: 0.000 0.000 0.000

Values from the calculation:
The value obtained for the total energy is -2.16 eV per atom. The theoretical density comes out at 6.7 g/cm3.

=====

(7)
Material: HfNb3C
Method: DFT, GGA-PBE
State: relaxed

Lattice parameters (Å, degrees): 4.889 4.889 4.889 90.00 90.00 90.00
Space group Pm-3m (No. 221)
Asymmetric unit:
Hf: 0.000 0.000 0.000
Nb: 0.000 0.000 0.500
C: 0.500 0.500 0.500

Values from the calculation:
The energy above the lowest structure with this stoichiometry comes out at 3096 meV/atom. The theoretical density comes out at 6.7 g/cm3.

=====

(8)
Material: Y3Ag4Hg2
Method: DFT, GGA-PBE
State: relaxed

Lattice parameters (Å, degrees): 9.335 5.278 8.766 90.00 105.71 90.00
Space group C2/m (No. 12)
Asymmetric unit:
Y: 0.000 0.000 0.000
Y: 0.092 0.500 0.333
Ag: 0.078 0.000 0.671
Ag: 0.168 0.500 0.009
Hg: 0.242 0.500 0.693

Values from the calculation:
The energy above the lowest structure with this stoichiometry comes out at 15 meV/atom. The theoretical density comes out at 8.8 g/cm3.

=====

(9)
Material: Er6HgS4
Method: DFT, GGA-PBE
State: relaxed

Lattice parameters (Å, degrees): 3.895 12.861 19.855 90.00 90.00 90.00
Space group Cmcm (No. 63)
Asymmetric unit:
Er: 0.000 0.000 0.000
Er: 0.000 0.160 0.250
Er: 0.000 0.271 0.585
Er: 0.000 0.459 0.160
Hg: 0.000 0.161 0.750
S: 0.000 0.094 0.122
S: 0.000 0.363 0.039

Values from the calculation:
Its uncorrected formation energy is -1549 meV per atom. The theoretical density comes out at 8.9 g/cm3.

=====

(10)
Material: Ba2Sc2Os
Method: DFT, GGA-PBE
State: relaxed

Lattice parameters (Å, degrees): 6.995 6.995 6.355 90.00 90.00 90.00
Space group P4/mbm (No. 127)
Asymmetric unit:
Ba: 0.185 0.315 0.000
Sc: 0.175 0.675 0.500
Os: 0.000 0.000 0.500

Values from the calculation:
The energy above the lowest structure with this stoichiometry comes out at 0 meV/atom. The theoretical density comes out at 5.9 g/cm3.

=====

(11)
Material: Ti3NbGa2N
Method: DFT, GGA-PBE
State: relaxed

Lattice parameters (Å, degrees): 3.943 4.150 13.846 90.00 90.00 90.00
Space group Immm (No. 71)
Asymmetric unit:
Ti: 0.000 0.000 0.000
Ti: 0.000 0.500 0.343
Nb: 0.000 0.000 0.500
Ga: 0.000 0.500 0.146
N: 0.000 0.500 0.500

Values from the calculation:
Its uncorrected formation energy is -620 meV per atom. The theoretical density comes out at 5.7 g/cm3.

=====

(12)
Material: Er2Hf2Sc7
Method: DFT, GGA-PBE
State: relaxed

Lattice parameters (Å, degrees): 7.910 10.040 7.390 90.00 106.42 90.00
Space group C2/m (No. 12)
Asymmetric unit:
Er: 0.000 0.215 0.000
Hf: 0.079 0.000 0.326
Sc: 0.000 0.500 0.500
Sc: 0.191 0.199 0.658
Sc: 0.199 0.500 0.972

Values from the calculation:
The value obtained for the total energy is -6.49 eV per atom. The theoretical density comes out at 5.9 g/cm3.

=====

(13)
Material: Ba5OsN4F2
Method: DFT, GGA-PBE
State: relaxed

Lattice parameters (Å, degrees): 7.738 10.602 6.542 90.00 90.00 90.00
Space group Amm2 (No. 38)
Asymmetric unit:
Ba: 0.000 0.000 0.000
Ba: 0.272 0.173 0.478
Os: 0.500 0.000 0.976
N: 0.322 0.000 0.189
N: 0.500 0.146 0.821
F: 0.000 0.232 0.758

Values from the calculation:
Its uncorrected formation energy is -1096 meV per atom. The theoretical density comes out at 6.0 g/cm3.

=====

(14)
Material: Pr2GaSn
Method: DFT, GGA-PBE
State: relaxed

Lattice parameters (Å, degrees): 8.680 10.001 10.070 90.00 90.00 90.00
Space group Fmmm (No. 69)
Asymmetric unit:
Pr: 0.201 0.000 0.000
Pr: 0.250 0.250 0.250
Ga: 0.000 0.215 0.500
Sn: 0.000 0.000 0.294

Values from the calculation:
The value obtained for the total energy is -4.77 eV per atom. The theoretical density comes out at 7.1 g/cm3.

=====

(15)
Material: RbCdTcGe2
Method: DFT, GGA-PBE
State: relaxed

Lattice parameters (Å, degrees): 4.855 4.855 5.455 90.00 90.00 90.00
Space group P4/mmm (No. 123)
Asymmetric unit:
Rb: 0.000 0.000 0.000
Cd: 0.500 0.500 0.000
Tc: 0.500 0.500 0.500
Ge: 0.000 0.500 0.500

Values from the calculation:
The value obtained for the total energy is -4.32 eV per atom. The theoretical density comes out at 5.7 g/cm3.

=====

(16)
Material: Y4GeAs2
Method: DFT, GGA-PBE
State: relaxed

Lattice parameters (Å, degrees): 8.778 8.778 8.769 90.00 90.00 90.00
Space group I-42d (No. 122)
Asymmetric unit:
Y: 0.066 0.682 0.442
Ge: 0.000 0.000 0.500
As: 0.123 0.750 0.125

Values from the calculation:
The value obtained for the total energy is -6.83 eV per atom. The theoretical density comes out at 5.7 g/cm3.

=====

(17)
Material: CdHg2Os
Method: DFT, GGA-PBE
State: relaxed

Lattice parameters (Å, degrees): 2.941 4.691 5.904 90.00 103.74 90.00
Space group Pm (No. 6)
Asymmetric unit:
Cd: 0.000 0.000 0.000
Hg: 0.273 0.000 0.541
Hg: 0.658 0.500 0.321
Os: 0.421 0.500 0.830

Values from the calculation:
The value obtained for the total energy is -2.51 eV per atom. The theoretical density comes out at 14.8 g/cm3.

=====

(18)
Material: K2TaSi
Method: DFT, GGA-PBE
State: relaxed

Lattice parameters (Å, degrees): 3.618 3.583 10.631 90.00 99.20 90.00
Space group Pm (No. 6)
Asymmetric unit:
K: 0.000 0.000 0.000
K: 0.290 0.500 0.604
Ta: 0.646 0.500 0.297
Si: 0.151 0.000 0.307

Values from the calculation:
Its uncorrected formation energy is 351 meV per atom. The theoretical density comes out at 3.5 g/cm3.